1.
## K2RbSnSe4 (GGA-PBE)

Data for a relaxed K2RbSnSe4 crystal.

Output
The space group is I-42m. The calculation puts the uncorrected formation energy at -6.298 eV/f.u.

```
K2RbSnSe4
1.0
-4.2596 4.2596 4.3554
4.2596 -4.2596 4.3554
4.2596 4.2596 -4.3554
K Rb Sn Se
2 1 1 4
Cartesian
4.2596 0.0000 2.1777 K
0.0000 4.2596 2.1777 K
0.0000 0.0000 0.0000 Rb
0.0000 0.0000 4.3554 Sn
1.5154 -1.5154 2.9638 Se
2.7442 2.7442 1.3915 Se
-1.5154 1.5154 2.9638 Se
1.5154 1.5154 5.7469 Se
```



2.
## YAlZn6Cu (GGA-PBE)

Data for a relaxed YAlZn6Cu crystal.

Output
The space group is Imma. The value obtained for the total energy is -43.7 eV per cell.

```
YAlZn6Cu
1.0
-3.3899 4.4377 5.4241
3.3899 -4.4377 5.4241
3.3899 4.4377 -5.4241
Y Al Zn Cu
2 2 12 2
Cartesian
0.0000 2.2188 2.1803 Y
3.3899 2.2188 3.2438 Y
1.6949 2.2188 -2.7121 Al
1.6949 -2.2188 2.7121 Al
2.0933 0.0890 1.3608 Zn
4.6864 0.0890 1.3608 Zn
3.3899 -2.2188 4.6068 Zn
3.3899 2.2188 -0.1088 Zn
2.0933 4.5267 -1.3608 Zn
1.2966 0.0890 4.0633 Zn
2.0933 4.3487 1.3608 Zn
1.2966 -0.0890 6.7850 Zn
0.0000 2.2188 5.5329 Zn
0.0000 6.6565 0.8173 Zn
-1.2966 4.3487 4.0633 Zn
1.2966 4.3487 4.0633 Zn
0.0000 0.0000 0.0000 Cu
0.0000 4.4377 0.0000 Cu
```



3.
## HfScTi2 (GGA-PBE)

Data for a relaxed HfScTi2 crystal.

Output
The space group is Fm-3m. Its energy above the most stable polymorph in this dataset is 96 meV per atom.

```
HfScTi2
1.0
0.0000 3.4179 3.4179
3.4179 0.0000 3.4179
3.4179 3.4179 0.0000
Hf Sc Ti
1 1 2
Cartesian
0.0000 0.0000 0.0000 Hf
3.4179 3.4179 3.4179 Sc
1.7090 1.7090 1.7090 Ti
5.1269 5.1269 5.1269 Ti
```



4.
## ZnCrAs2 (GGA-PBE)

Data for a relaxed ZnCrAs2 crystal.

Output
The space group is P4/mmm. The value obtained for the total energy is -19.5 eV per cell.

```
ZnCrAs2
1.0
4.2939 0.0000 0.0000
0.0000 4.2939 0.0000
0.0000 0.0000 3.6236
Zn Cr As
1 1 2
Cartesian
0.0000 0.0000 0.0000 Zn
2.1469 2.1469 0.0000 Cr
0.0000 2.1469 1.8118 As
2.1469 0.0000 1.8118 As
```



5.
## La2DySb (GGA-PBE)

Data for a relaxed La2DySb crystal.

Output
The space group is P4/mmm. Its energy above the most stable polymorph in this dataset is 0 meV per atom. The calculation puts the uncorrected formation energy at -2.268 eV/f.u.

```
La2DySb
1.0
4.8903 0.0000 0.0000
0.0000 4.8903 0.0000
0.0000 0.0000 5.0137
La Dy Sb
2 1 1
Cartesian
0.0000 2.4452 0.0000 La
2.4452 0.0000 0.0000 La
0.0000 0.0000 2.5068 Dy
2.4452 2.4452 2.5068 Sb
```



6.
## NdErTm2In4 (GGA-PBE)

Data for a relaxed NdErTm2In4 crystal.

Output
The space group is R-3m. The value obtained for the total energy is -32.8 eV per cell.

```
NdErTm2In4
1.0
2.6582 1.5347 8.7195
-2.6582 1.5347 8.7195
0.0000 -3.0694 8.7195
Nd Er Tm In
1 1 2 4
Cartesian
0.0000 0.0000 0.0000 Nd
0.0000 0.0000 13.0793 Er
0.0000 0.0000 6.5255 Tm
0.0000 0.0000 19.6331 Tm
0.0000 0.0000 3.3132 In
0.0000 0.0000 9.8595 In
0.0000 0.0000 16.2991 In
0.0000 0.0000 22.8454 In
```



7.
## ZnSiTe3 (GGA-PBE)

Data for a relaxed ZnSiTe3 crystal.

Output
The space group is Pm-3m. Its energy above the most stable polymorph in this dataset is 786 meV per atom. The calculation puts the uncorrected formation energy at 3.394 eV/f.u.

```
ZnSiTe3
1.0
5.2566 0.0000 0.0000
0.0000 5.2566 0.0000
0.0000 0.0000 5.2566
Zn Si Te
1 1 3
Cartesian
0.0000 0.0000 0.0000 Zn
2.6283 2.6283 2.6283 Si
0.0000 0.0000 2.6283 Te
0.0000 2.6283 0.0000 Te
2.6283 0.0000 0.0000 Te
```



8.
## Pr6HN5 (GGA-PBE)

Data for a relaxed Pr6HN5 crystal.

Output
The space group is C2/m. The value obtained for the total energy is -88.0 eV per cell.

```
Pr6HN5
1.0
3.2039 -5.5412 0.0000
3.2039 5.5412 0.0000
-2.1595 0.0000 6.0213
Pr H N
6 1 5
Cartesian
-0.0700 1.9407 4.4885 Pr
0.9427 0.0000 1.5874 Pr
-0.0700 -1.9407 4.4885 Pr
4.3183 1.9407 1.5327 Pr
3.3056 0.0000 4.4339 Pr
4.3183 -1.9407 1.5327 Pr
3.2039 0.0000 0.0000 H
-1.0797 0.0000 3.0106 N
3.2039 3.6985 0.0000 N
2.1242 1.8941 3.0106 N
2.1242 -1.8941 3.0106 N
3.2039 -3.6985 0.0000 N
```



9.
## K2SmNpS4 (GGA-PBE)

Data for a relaxed K2SmNpS4 crystal.

Output
The space group is P2/m. The calculation puts the uncorrected formation energy at -12.952 eV/f.u.

```
K2SmNpS4
1.0
7.1516 0.0000 0.0000
0.0000 4.1271 0.0000
-2.3960 0.0000 7.3693
K Sm Np S
2 1 1 4
Cartesian
0.0000 0.0000 0.0000 K
3.5758 2.0636 0.0000 K
-1.1980 2.0636 3.6846 Sm
2.3778 0.0000 3.6846 Np
0.0046 0.0000 5.1995 S
1.2141 2.0636 2.1991 S
3.5416 2.0636 5.1702 S
4.7511 0.0000 2.1698 S
```



10.
## CuIr2 (GGA-PBE)

Data for a relaxed CuIr2 crystal.

Output
The space group is P4/mmm. Its energy above the most stable polymorph in this dataset is 728 meV per atom.

```
CuIr2
1.0
3.6037 0.0000 0.0000
0.0000 3.6037 0.0000
0.0000 0.0000 3.8360
Cu Ir
1 2
Cartesian
0.0000 0.0000 0.0000 Cu
0.0000 1.8018 1.9180 Ir
1.8018 0.0000 1.9180 Ir
```



11.
## NiSbTe (GGA-PBE)

Data for a relaxed NiSbTe crystal.

Output
The space group is Pmn2_1. The calculation puts the uncorrected formation energy at -0.656 eV/f.u.

```
NiSbTe
1.0
3.9638 0.0000 0.0000
0.0000 5.3493 0.0000
0.0000 0.0000 6.3225
Ni Sb Te
2 2 2
Cartesian
0.0000 1.3395 0.0000 Ni
1.9819 4.0098 3.1613 Ni
0.0000 0.1198 2.2786 Sb
1.9819 5.2295 5.4399 Sb
0.0000 2.5120 4.0214 Te
1.9819 2.8373 0.8602 Te
```



12.
## Hf2SnCS (GGA-PBE)

Data for a relaxed Hf2SnCS crystal.

Output
The space group is P4/mmm. The calculation puts the uncorrected formation energy at 6.612 eV/f.u.

```
Hf2SnCS
1.0
4.6990 0.0000 0.0000
0.0000 4.6990 0.0000
0.0000 0.0000 5.1313
Hf Sn C S
2 1 1 1
Cartesian
0.0000 2.3495 0.0000 Hf
2.3495 0.0000 0.0000 Hf
0.0000 0.0000 2.5656 Sn
2.3495 2.3495 2.5656 C
0.0000 0.0000 0.0000 S
```